Entry 1:
This record from the Alexandria database describes a geometry-optimized Li2LaInF structure. The functional is PBE-GGA.

Cell and atoms, written as POSCAR:
```
Li2LaInF
1.0
-4.249 -1.463 1.028
1.779 -3.200 2.800
-0.191 3.246 3.831
Li In F La
2 1 1 1
direct
0.500 0.000 0.000 Li
0.000 0.500 0.000 Li
0.500 0.500 0.500 In
0.000 0.000 0.000 F
0.000 0.000 0.500 La
```

Calculated values
crystal system = tetragonal
final energy = -3.861 eV per atom

***

Entry 2:
This record from the Alexandria database describes a geometry-optimized MnVTc structure. The functional is PBE-GGA.

Cell and atoms, written as POSCAR:
```
MnVTc
1.0
2.609 -0.015 -0.006
1.007 4.829 -0.003
0.956 1.264 6.224
Mn V Tc
2 2 2
direct
0.721 0.741 0.498 Mn
0.279 0.259 0.502 Mn
0.415 0.417 0.826 V
0.585 0.583 0.174 V
0.085 0.087 0.177 Tc
0.915 0.913 0.823 Tc
```

Calculated values
energy relative to the elements = -0.094 eV/atom
crystal system = triclinic
relative energy among the computed polymorphs = 0.077 eV/atom

***

The records above yield total moment values of 0.612; 2.576 Bohr magnetons per cell, respectively.